CsYbMo2O8 (GGA+U, relaxed); space-group type = Pccm, No. 49; total DFT energy (no corrections) = -160.00 eV per cell
1.0
5.1063 0.0000 0.0000
0.0000 9.7793 0.0000
0.0000 0.0000 8.1769
Cs Yb Mo O
2 2 4 16
direct
0.0000 0.0000 0.2500
0.0000 0.0000 0.7500
0.0000 0.5000 0.2500
0.0000 0.5000 0.7500
0.4796 0.3072 0.0000
0.4796 0.6928 0.5000
0.5204 0.3072 0.5000
0.5204 0.6928 0.0000
0.2504 0.4350 0.5000
0.2504 0.5650 0.0000
0.2622 0.3158 0.1750
0.2622 0.3158 0.8250
0.2622 0.6842 0.3250
0.2622 0.6842 0.6750
0.3832 0.1429 0.5000
0.3832 0.8571 0.0000
0.6168 0.1429 0.0000
0.6168 0.8571 0.5000
0.7378 0.3158 0.3250
0.7378 0.3158 0.6750
0.7378 0.6842 0.1750
0.7378 0.6842 0.8250
0.7496 0.4350 0.0000
0.7496 0.5650 0.5000